Computed, not measured: a geometry-optimized ZrCd2Hg2 structure at the PBE level of DFT.

Magnetization = 0.0 μB per cell
Uncorrected energy = -2.06 eV per atom
E_form = 0.69 eV per formula unit

Lattice parameters (Å, degrees): 8.3222 8.3222 3.2359 90.00 90.00 90.00
Last column: nearest neighbours and their distance in Å.
Positions (direct):
Cd 0.6242 0.1242 0.0000  6 Hg 2.84-3.02, 1 Cd 2.92
Cd 0.1242 0.3758 0.0000  6 Hg 2.84-3.02, 1 Cd 2.92
Cd 0.3758 0.8758 0.0000  6 Hg 2.84-3.02, 1 Cd 2.92
Cd 0.8758 0.6242 0.0000  6 Hg 2.84-3.02, 1 Cd 2.92
Zr 0.0000 0.0000 0.0000  2 Zr 3.24, 4 Cd 3.29, 8 Hg 3.47
Zr 0.5000 0.5000 0.0000  2 Zr 3.24, 4 Cd 3.29, 8 Hg 3.47
Hg 0.1771 0.6771 0.5000  6 Cd 2.84-3.02
Hg 0.6771 0.8229 0.5000  6 Cd 2.84-3.02
Hg 0.8229 0.3229 0.5000  6 Cd 2.84-3.02
Hg 0.3229 0.1771 0.5000  6 Cd 2.84-3.02